Entry 1:
VASP calculation (PBEsol) on a relaxed structure of SrLiMg4.

Summary:
* space-group type: F-43m
* volume: 162.1 Å³/cell
* energy of formation from the pure elements: -0.022 eV per atom

a = 6.1204 Å, b = 6.1204 Å, c = 6.1204 Å
α = 60.00°, β = 60.00°, γ = 60.00°
With the nearest neighbours (Å) after each atom.
Fractional positions:
Sr 0.7500 0.7500 0.7500  12 Mg 3.59, 4 Li 3.75
Mg 0.3743 0.3743 0.3743  6 Mg 3.04-3.08
Mg 0.3743 0.3743 0.8772  6 Mg 3.04-3.08
Mg 0.8772 0.3743 0.3743  6 Mg 3.04-3.08
Mg 0.3743 0.8772 0.3743  6 Mg 3.04-3.08
Li 0.0000 0.0000 0.0000  12 Mg 3.59, 4 Sr 3.75


Entry 2:
VASP calculation (PBEsol) on a relaxed structure of CaRe2Se.

Summary:
* energy relative to the elements, uncorrected: 0.813 eV/atom
* space-group type: Pmmm
* volume: 70.6 Å³/cell

a = 2.9036 Å, b = 4.6154 Å, c = 5.2686 Å
α = 90.00°, β = 90.00°, γ = 90.00°
With the nearest neighbours (Å) after each atom.
Fractional positions:
Re 0.0000 0.0000 0.7750  1 Re 2.37
Re 0.0000 0.0000 0.2250  1 Re 2.37
Ca 0.5000 0.5000 0.5000  2 Se 2.63, 2 Ca 2.90
Se 0.5000 0.5000 0.0000  2 Ca 2.63, 2 Se 2.90


Entry 3:
VASP calculation (PBEsol) on a relaxed structure of BaAu2Cl.

Summary:
* offset from the most stable computed form: 0.00 eV per formula unit
* energy relative to the elements, uncorrected: -0.658 eV/atom
* space-group type: P4/mmm
* volume: 111.6 Å³/cell

a = 4.4714 Å, b = 4.4714 Å, c = 5.5814 Å
α = 90.00°, β = 90.00°, γ = 90.02°
With the nearest neighbours (Å) after each atom.
Fractional positions:
Au 0.0000 0.0000 0.7494  2 Au 2.78-2.80
Au 0.0000 0.0000 0.2506  2 Au 2.78-2.80
Ba 0.5000 0.5000 0.0000  2 Cl 2.79
Cl 0.5000 0.5000 0.5000  2 Ba 2.79


Entry 4:
VASP calculation (PBEsol) on a relaxed structure of K2Na2Sm4Nb2O13.

Summary:
* energy relative to the elements, uncorrected: -2.826 eV/atom
* space-group type: C2/c
* volume: 683.4 Å³/cell

a = 5.6382 Å, b = 11.1874 Å, c = 12.4131 Å
α = 115.59°, β = 103.13°, γ = 90.00°
With the nearest neighbours (Å) after each atom.
Fractional positions:
K 0.8021 0.6323 0.4977  4 O 2.79-2.92
K 0.3044 0.8677 0.5023  4 O 2.79-2.92
K 0.1979 0.3677 0.5023  4 O 2.79-2.92
K 0.6956 0.1323 0.4977  4 O 2.79-2.92
Na 0.8803 0.9776 0.6822  5 O 2.26-2.30
Na 0.1981 0.5224 0.3178  5 O 2.26-2.30
Na 0.1197 0.0224 0.3178  5 O 2.26-2.30
Na 0.8019 0.4776 0.6822  5 O 2.26-2.30
Sm 0.6103 0.4492 0.1258  7 O 2.35-2.43
Sm 0.4844 0.0508 0.8742  7 O 2.35-2.43
Sm 0.3897 0.5508 0.8742  7 O 2.35-2.43
Sm 0.5156 0.9492 0.1258  7 O 2.35-2.43
Sm 0.9755 0.8273 0.8746  7 O 2.35-2.53
Sm 0.1009 0.6727 0.1254  7 O 2.35-2.53
Sm 0.0245 0.1727 0.1254  7 O 2.35-2.53
Sm 0.8991 0.3273 0.8746  7 O 2.35-2.53
Nb 0.6852 0.7821 0.3014  5 O 1.86-2.00
Nb 0.3837 0.7179 0.6986  5 O 1.86-2.00
Nb 0.3148 0.2179 0.6986  5 O 1.86-2.00
Nb 0.6163 0.2821 0.3014  5 O 1.86-2.00
O 0.9055 0.6377 0.2623  1 Nb 2.00
O 0.6432 0.8623 0.7377  1 Nb 2.00
O 0.0945 0.3623 0.7377  1 Nb 2.00
O 0.3568 0.1377 0.2623  1 Nb 2.00
O 0.8628 0.3765 0.2680  1 Nb 1.96
O 0.5947 0.1235 0.7320  1 Nb 1.96
O 0.1372 0.6235 0.7320  1 Nb 1.96
O 0.4053 0.8765 0.2680  1 Nb 1.96
O 0.1770 0.8636 0.7410  1 Nb 1.96
O 0.4360 0.6364 0.2590  1 Nb 1.96
O 0.8230 0.1364 0.2590  1 Nb 1.96
O 0.5640 0.3636 0.7410  1 Nb 1.96
O 0.8008 0.8765 0.4717  1 Nb 1.86
O 0.3291 0.6235 0.5283  1 Nb 1.86
O 0.1992 0.1235 0.5283  1 Nb 1.86
O 0.6709 0.3765 0.4717  1 Nb 1.86
O 0.2428 0.7500 0.0000  4 Sm 2.35-2.38
O 0.7572 0.2500 0.0000  4 Sm 2.35-2.38
O 0.3682 0.3397 0.2000  1 Nb 1.96
O 0.1682 0.1603 0.8000  1 Nb 1.96
O 0.6318 0.6603 0.8000  1 Nb 1.96
O 0.8318 0.8397 0.2000  1 Nb 1.96
O 0.7506 0.5229 0.9981  4 Sm 2.35-2.37
O 0.7524 0.9771 0.0019  4 Sm 2.35-2.37
O 0.2494 0.4771 0.0019  4 Sm 2.35-2.37
O 0.2476 0.0229 0.9981  4 Sm 2.35-2.37


Entry 5:
VASP calculation (PBEsol) on a relaxed structure of MgCr2In.

Summary:
* space-group type: I4/mmm
* volume: 60.2 Å³/cell
* energy of formation from the pure elements: 0.604 eV per atom

a = 3.7582 Å, b = 3.7582 Å, c = 5.0223 Å
α = 111.97°, β = 111.97°, γ = 90.00°
With the nearest neighbours (Å) after each atom.
Fractional positions:
Cr 0.7500 0.2500 0.5000  4 Cr 2.66, 4 In 2.84, 4 Mg 2.84
Cr 0.2500 0.7500 0.5000  4 Cr 2.66, 4 In 2.84, 4 Mg 2.84
In 0.5000 0.5000 0.0000  4 Mg 2.66, 8 Cr 2.84
Mg 0.0000 0.0000 0.0000  4 In 2.66, 8 Cr 2.84


Entry 6:
VASP calculation (PBEsol) on a relaxed structure of Ti3As.

Summary:
* space-group type: P4_2/n
* volume: 509.4 Å³/cell
* energy of formation from the pure elements: -0.705 eV per atom

a = 5.0492 Å, b = 10.0440 Å, c = 10.0440 Å
α = 90.00°, β = 90.00°, γ = 90.00°
With the nearest neighbours (Å) after each atom.
Fractional positions:
Ti 0.0370 0.8960 0.5814  2 As 2.55-2.60, 2 Ti 2.65-2.80
Ti 0.0370 0.1040 0.4186  2 As 2.55-2.60, 2 Ti 2.65-2.80
Ti 0.5370 0.9186 0.3960  2 As 2.55-2.60, 2 Ti 2.65-2.80
Ti 0.5370 0.0814 0.6040  2 As 2.55-2.60, 2 Ti 2.65-2.80
Ti 0.4630 0.6040 0.9186  2 As 2.55-2.60, 2 Ti 2.65-2.80
Ti 0.4630 0.3960 0.0814  2 As 2.55-2.60, 2 Ti 2.65-2.80
Ti 0.9630 0.5814 0.1040  2 As 2.55-2.60, 2 Ti 2.65-2.80
Ti 0.9630 0.4186 0.8960  2 As 2.55-2.60, 2 Ti 2.65-2.80
Ti 0.7131 0.8575 0.0272  4 As 2.58-2.62, 1 Ti 2.80
Ti 0.7131 0.1425 0.9728  4 As 2.58-2.62, 1 Ti 2.80
Ti 0.2131 0.4728 0.3575  4 As 2.58-2.62, 1 Ti 2.80
Ti 0.2131 0.5272 0.6425  4 As 2.58-2.62, 1 Ti 2.80
Ti 0.7869 0.6425 0.4728  4 As 2.58-2.62, 1 Ti 2.80
Ti 0.7869 0.3575 0.5272  4 As 2.58-2.62, 1 Ti 2.80
Ti 0.2869 0.0272 0.1425  4 As 2.58-2.62, 1 Ti 2.80
Ti 0.2869 0.9728 0.8575  4 As 2.58-2.62, 1 Ti 2.80
Ti 0.9955 0.2846 0.1830  3 As 2.53-2.67, 2 Ti 2.80
Ti 0.9955 0.7154 0.8170  3 As 2.53-2.67, 2 Ti 2.80
Ti 0.4955 0.3170 0.7846  3 As 2.53-2.67, 2 Ti 2.80
Ti 0.4955 0.6830 0.2154  3 As 2.53-2.67, 2 Ti 2.80
Ti 0.5045 0.2154 0.3170  3 As 2.53-2.67, 2 Ti 2.80
Ti 0.5045 0.7846 0.6830  3 As 2.53-2.67, 2 Ti 2.80
Ti 0.0045 0.1830 0.7154  3 As 2.53-2.67, 2 Ti 2.80
Ti 0.0045 0.8170 0.2846  3 As 2.53-2.67, 2 Ti 2.80
As 0.2108 0.7939 0.0407  9 Ti 2.53-2.67
As 0.2108 0.2061 0.9593  9 Ti 2.53-2.67
As 0.7108 0.4593 0.2939  9 Ti 2.53-2.67
As 0.7108 0.5407 0.7061  9 Ti 2.53-2.67
As 0.2892 0.7061 0.4593  9 Ti 2.53-2.67
As 0.2892 0.2939 0.5407  9 Ti 2.53-2.67
As 0.7892 0.0407 0.2061  9 Ti 2.53-2.67
As 0.7892 0.9593 0.7939  9 Ti 2.53-2.67


Question: Which formula does entry 4 have?
Answer: K2Na2Sm4Nb2O13


Question: Look up the volume of the fifth one.
Answer: 60.2 Å³/cell